No. 1
Here is crystalline RbLiV2 at its relaxed geometry from Alexandria. Energies are from PBE-GGA.

Cell and atoms, written as POSCAR:
```
RbLiV2
1.0
1.134 -4.965 -1.678
2.780 -3.327 3.156
-2.432 -4.213 2.256
V Li Rb
2 1 1
Direct
0.750 0.750 0.750
0.250 0.250 0.250
0.000 0.000 0.000
0.500 0.500 0.500
```

total magnetization = 8.29 μB per formula unit
E_form = 1.628 eV/atom
energy relative to the lowest polymorph listed for this composition = 246.9 meV per atom
space group = No. 225

=====

No. 2
Here is crystalline RbLi2V at its relaxed geometry from Alexandria. Energies are from PBE-GGA.

Cell and atoms, written as POSCAR:
```
RbLi2V
1.0
-3.885 0.199 7.619
-1.632 -8.375 -0.613
0.283 -4.796 5.073
Li V Rb
4 2 2
Direct
0.875 0.819 0.750
0.569 0.125 0.250
0.181 0.625 0.250
0.375 0.431 0.750
0.250 0.750 0.500
0.500 0.500 0.000
0.000 0.000 0.000
0.750 0.250 0.500
```

total magnetization = 4.53 μB per formula unit
E_form = 0.933 eV/atom
energy relative to the lowest polymorph listed for this composition = 40.5 meV per atom
space group = No. 122

=====

No. 3
Here is crystalline RbLi2V at its relaxed geometry from Alexandria. Energies are from PBE-GGA.

Cell and atoms, written as POSCAR:
```
RbLi2V
1.0
2.894 -4.670 -0.601
-2.531 -4.626 -1.656
0.966 -2.022 -5.052
Li Rb V
2 1 1
Direct
0.750 0.750 0.750
0.250 0.250 0.250
0.500 0.500 0.500
0.000 0.000 0.000
```

total magnetization = 5.00 μB per formula unit
E_form = 0.892 eV/atom
energy relative to the lowest polymorph listed for this composition = 0.0 meV per atom
space group = No. 225

=====

No. 4
Here is crystalline RbLi3V at its relaxed geometry from Alexandria. Energies are from PBE-GGA.

Cell and atoms, written as POSCAR:
```
RbLi3V
1.0
5.194 0.000 0.000
0.000 5.194 0.000
0.000 0.000 5.194
Li V Rb
3 1 1
Direct
0.500 0.000 0.000
0.000 0.000 0.500
0.000 0.500 0.000
0.500 0.500 0.500
0.000 0.000 0.000
```

total magnetization = 4.10 μB per formula unit
E_form = 1.270 eV/atom
energy relative to the lowest polymorph listed for this composition = 527.6 meV per atom
space group = No. 221

=====

No. 5
Here is crystalline Rb2LiV at its relaxed geometry from Alexandria. Energies are from PBE-GGA.

Cell and atoms, written as POSCAR:
```
Rb2LiV
1.0
-9.967 0.334 1.413
-0.360 -10.065 -0.160
-4.668 -4.938 4.140
Rb V Li
4 2 2
Direct
0.130 0.625 0.250
0.875 0.870 0.750
0.620 0.125 0.250
0.375 0.380 0.750
0.750 0.250 0.500
0.000 0.000 0.000
0.250 0.750 0.500
0.500 0.500 0.000
```

total magnetization = 4.72 μB per formula unit
E_form = 1.053 eV/atom
energy relative to the lowest polymorph listed for this composition = 52.9 meV per atom
space group = No. 122

=====

No. 6
Here is crystalline RbLiV2 at its relaxed geometry from Alexandria. Energies are from PBE-GGA.

Cell and atoms, written as POSCAR:
```
RbLiV2
1.0
3.970 0.000 0.000
0.000 3.970 0.000
1.985 1.985 11.593
V Rb Li
4 2 2
Direct
0.375 0.512 0.750
0.262 0.625 0.250
0.488 0.125 0.250
0.875 0.738 0.750
0.750 0.250 0.500
0.000 0.000 0.000
0.250 0.750 0.500
0.500 0.500 0.000
```

total magnetization = 0.00 μB per formula unit
E_form = 1.381 eV/atom
energy relative to the lowest polymorph listed for this composition = 0.0 meV per atom
space group = No. 122

=====

No. 7
Here is crystalline RbLi3V at its relaxed geometry from Alexandria. Energies are from PBE-GGA.

Cell and atoms, written as POSCAR:
```
RbLi3V
1.0
-0.618 -2.171 5.023
-4.784 -2.238 -1.556
2.655 -4.539 -1.635
Li V Rb
3 1 1
Direct
0.500 0.000 0.000
0.000 0.000 0.500
0.000 0.500 0.000
0.000 0.000 0.000
0.500 0.500 0.500
```

total magnetization = 5.43 μB per formula unit
E_form = 0.743 eV/atom
energy relative to the lowest polymorph listed for this composition = 0.0 meV per atom
space group = No. 221

=====

No. 8
Here is crystalline RbLiW2 at its relaxed geometry from Alexandria. Energies are from PBE-GGA.

Cell and atoms, written as POSCAR:
```
RbLiW2
1.0
3.772 0.000 0.000
0.000 3.772 0.000
1.886 1.886 11.942
Rb Li W
2 2 4
Direct
0.750 0.250 0.500
0.000 0.000 0.000
0.500 0.500 0.000
0.250 0.750 0.500
0.375 0.855 0.750
0.875 0.395 0.750
0.605 0.625 0.250
0.145 0.125 0.250
```

total magnetization = 0.00 μB per formula unit
E_form = 1.563 eV/atom
energy relative to the lowest polymorph listed for this composition = 0.0 meV per atom
space group = No. 122

=====

No. 9
Here is crystalline Rb2LiW at its relaxed geometry from Alexandria. Energies are from PBE-GGA.

Cell and atoms, written as POSCAR:
```
Rb2LiW
1.0
10.057 0.000 0.000
0.000 10.057 0.000
5.028 5.028 3.456
Rb Li W
4 2 2
Direct
0.375 0.382 0.750
0.875 0.868 0.750
0.618 0.125 0.250
0.132 0.625 0.250
0.500 0.500 0.000
0.250 0.750 0.500
0.750 0.250 0.500
0.000 0.000 0.000
```

total magnetization = 4.98 μB per formula unit
E_form = 1.681 eV/atom
energy relative to the lowest polymorph listed for this composition = 78.9 meV per atom
space group = No. 122

=====

No. 10
Here is crystalline Rb2LiW at its relaxed geometry from Alexandria. Energies are from PBE-GGA.

Cell and atoms, written as POSCAR:
```
Rb2LiW
1.0
-0.426 2.947 5.533
-1.429 6.115 0.201
-5.607 1.847 2.153
Rb W Li
2 1 1
Direct
0.250 0.250 0.250
0.750 0.750 0.750
0.500 0.500 0.500
0.000 0.000 0.000
```

total magnetization = 4.95 μB per formula unit
E_form = 1.602 eV/atom
energy relative to the lowest polymorph listed for this composition = 0.0 meV per atom
space group = No. 225

=====

No. 11
Here is crystalline RbLiW2 at its relaxed geometry from Alexandria. Energies are from PBE-GGA.

Cell and atoms, written as POSCAR:
```
RbLiW2
1.0
-2.706 1.112 3.690
-4.545 1.046 -0.645
-3.334 -2.988 1.460
W Rb Li
2 1 1
Direct
0.750 0.750 0.750
0.250 0.250 0.250
0.500 0.500 0.500
0.000 0.000 0.000
```

total magnetization = 0.00 μB per formula unit
E_form = 2.628 eV/atom
energy relative to the lowest polymorph listed for this composition = 1065.1 meV per atom
space group = No. 225

=====

No. 12
Here is crystalline RbLiZnW2 at its relaxed geometry from Alexandria. Energies are from PBE-GGA.

Cell and atoms, written as POSCAR:
```
RbLiZnW2
1.0
4.568 0.000 0.000
0.000 4.926 0.000
0.000 0.000 4.568
Rb W Zn Li
1 2 1 1
Direct
0.500 0.500 0.500
0.000 0.000 0.500
0.500 0.000 0.000
0.000 0.500 0.000
0.000 0.000 0.000
```

total magnetization = 2.52 μB per formula unit
E_form = 2.091 eV/atom
space group = No. 123

=====

Respective VASP energy values: -14.61; -20.37; -10.34; -9.48; -17.51; -31.19; -12.12; -45.07; -20.15; -10.39; -18.28; -19.61 eV for the cell shown.